Record 1
# SrMn2Br

A relaxed SrMn2Br crystal (PBE-GGA, the Alexandria database).

Unit cell a=3.511 b=3.511 c=8.607 alpha=90.00 beta=90.00 gamma=95.22
Site moments in Bohr magnetons follow the coordinates.
Fractional positions:
Mn 0.000 0.000 0.532  4.16
Br 0.500 0.500 0.750  0.09
Mn 0.000 0.000 0.968  4.16
Sr 0.500 0.500 0.250  -0.07

For the energy relative to the lowest polymorph listed for this composition, the calculation gives 471 meV/atom. The value obtained for the raw formation energy is 0.48 eV/atom. As for the symmetry: Cmmm. The value obtained for the total DFT energy (no corrections) is -19.8 eV/f.u.

Record 2
# KHfGa2

A relaxed KHfGa2 crystal (PBE-GGA, the Alexandria database).

Unit cell a=5.051 b=5.051 c=5.051 alpha=60.00 beta=60.00 gamma=60.00
Fractional positions:
K 0.000 0.000 0.000
Hf 0.500 0.500 0.500
Ga 0.750 0.750 0.750
Ga 0.250 0.250 0.250

For the energy relative to the lowest polymorph listed for this composition, the calculation gives 0 meV/atom. As for the symmetry: Fm-3m. The value obtained for the total DFT energy (no corrections) is -15.8 eV/f.u.

Record 3
# UFeB3

A relaxed UFeB3 crystal (PBE-GGA, the Alexandria database).

Unit cell a=3.722 b=3.042 c=9.305 alpha=90.00 beta=101.54 gamma=90.00
Site moments in Bohr magnetons follow the coordinates.
Fractional positions:
Fe 0.206 0.750 0.412  1.53
B 0.634 0.750 0.268  0.00
U 0.078 0.250 0.156  0.53
U 0.922 0.750 0.844  0.53
B 0.475 0.250 0.951  -0.01
B 0.318 0.750 0.637  -0.06
B 0.682 0.250 0.363  -0.06
Fe 0.794 0.250 0.588  1.53
B 0.366 0.250 0.732  0.00
B 0.525 0.750 0.049  -0.01

As for the symmetry: Cmcm. The value obtained for the total DFT energy (no corrections) is -41.0 eV/f.u.

Record 4
# La4AuSeI2

A relaxed La4AuSeI2 crystal (PBE-GGA, the Alexandria database).

Unit cell a=4.332 b=7.716 c=8.182 alpha=107.77 beta=90.00 gamma=90.00
Fractional positions:
La 0.000 0.271 0.788
Au 0.000 0.000 0.000
Se 0.500 0.500 0.000
La 0.500 0.234 0.210
I 0.500 0.000 0.500
La 0.500 0.766 0.790
I 0.000 0.500 0.500
La 0.000 0.729 0.212

The value obtained for the raw formation energy is -1.22 eV/atom. As for the symmetry: P2/m. The value obtained for the total DFT energy (no corrections) is -39.3 eV/f.u.

Record 5
# CeDyHoSn

A relaxed CeDyHoSn crystal (PBE-GGA, the Alexandria database).

Unit cell a=5.366 b=5.366 c=5.366 alpha=60.00 beta=60.00 gamma=60.00
Site moments in Bohr magnetons follow the coordinates.
Fractional positions:
Sn 0.250 0.250 0.250  -0.02
Ce 0.750 0.750 0.750  0.55
Dy 0.500 0.500 0.500  0.11
Ho 0.000 0.000 0.000  0.12

As for the symmetry: F-43m. The value obtained for the total DFT energy (no corrections) is -19.9 eV/f.u.

Record 6
# Al2CdW

A relaxed Al2CdW crystal (PBE-GGA, the Alexandria database).

Unit cell a=2.810 b=5.130 c=4.830 alpha=90.00 beta=90.00 gamma=90.00
Fractional positions:
W 0.000 0.500 0.500
Al 0.500 0.500 0.000
Cd 0.500 0.000 0.500
Al 0.000 0.000 0.000

As for the symmetry: Pmmm. The value obtained for the total DFT energy (no corrections) is -19.9 eV/f.u.

Record 7
# LiCo2N

A relaxed LiCo2N crystal (PBE-GGA, the Alexandria database).

Unit cell a=6.254 b=6.254 c=4.925 alpha=50.58 beta=50.58 gamma=90.00
Fractional positions:
Co 0.986 0.625 0.250
Li 0.500 0.500 0.000
Co 0.764 0.125 0.250
Co 0.875 0.014 0.750
N 0.750 0.250 0.500
Co 0.375 0.236 0.750
Li 0.250 0.750 0.500
N 0.000 0.000 0.000

The value obtained for the raw formation energy is -0.01 eV/atom. As for the symmetry: I-42d. The value obtained for the total DFT energy (no corrections) is -24.5 eV/f.u.